1.
This record from Alexandria describes crystalline Zn2CuBr at its relaxed geometry. The functional is PBE-GGA.

```
Zn2CuBr
1.0
6.078 0.000 0.000
0.000 3.670 0.000
0.000 0.000 3.670
Zn Cu Br
2 1 1
direct
0.000 0.000 0.000
0.000 0.500 0.500
0.500 0.000 0.500
0.500 0.500 0.000
```

Calculated values
polymorph energy (0 for the lowest one) = 256 meV per atom
energy relative to the elements, uncorrected = 0.21 eV/atom
total magnetic moment = 0.000 μB/cell
volume = 20.5 A^3/atom
density of states at the Fermi level = 1.3 states/eV/f.u.
energy = -7.48 eV per cell

2.
This record from Alexandria describes crystalline Sr2CuAs2 at its relaxed geometry. The functional is PBE-GGA.

```
Sr2CuAs2
1.0
7.418 0.000 0.000
0.000 7.418 0.000
0.000 0.000 4.573
As Sr Cu
4 4 2
direct
0.624 0.124 0.000
0.876 0.624 0.000
0.376 0.876 0.000
0.124 0.376 0.000
0.180 0.680 0.500
0.820 0.320 0.500
0.320 0.180 0.500
0.680 0.820 0.500
0.500 0.500 0.000
0.000 0.000 0.000
```

Calculated values
polymorph energy (0 for the lowest one) = 251 meV per atom
energy of formation = -0.611 eV per atom
total magnetic moment = 0.000 μB/cell
volume = 25.2 A^3/atom
density of states at the Fermi level = 3.0 states/eV/f.u.
energy = -39.63 eV per cell

3.
This record from Alexandria describes crystalline Dy5Tl2 at its relaxed geometry. The functional is PBE-GGA.

```
Dy5Tl2
1.0
-4.407 -3.074 0.513
4.289 -6.916 -4.591
4.308 -0.190 7.471
Dy Tl
10 4
direct
0.980 0.327 0.462
0.482 0.827 0.462
0.111 0.037 0.723
0.750 0.250 0.000
0.020 0.673 0.538
0.612 0.537 0.723
0.518 0.173 0.538
0.388 0.463 0.277
0.889 0.963 0.277
0.250 0.750 0.000
0.824 0.608 0.149
0.675 0.892 0.851
0.176 0.392 0.851
0.325 0.108 0.149
```

Calculated values
energy of formation = -0.200 eV per atom
total magnetic moment = 0.000 μB/cell
volume = 29.0 A^3/atom
density of states at the Fermi level = 5.6 states/eV/f.u.
energy = -58.29 eV per cell

4.
This record from Alexandria describes crystalline PrDy2TmAu4 at its relaxed geometry. The functional is PBE-GGA.

```
PrDy2TmAu4
1.0
5.090 0.000 0.000
2.545 4.408 0.000
2.545 1.469 8.527
Au Dy Tm Pr
4 2 1 1
direct
0.129 0.129 0.614
0.617 0.617 0.149
0.383 0.383 0.851
0.871 0.871 0.386
0.752 0.752 0.744
0.248 0.248 0.256
0.500 0.500 0.500
0.000 0.000 0.000
```

Calculated values
energy of formation = -0.834 eV per atom
total magnetic moment = 0.000 μB/cell
volume = 23.9 A^3/atom
density of states at the Fermi level = 4.2 states/eV/f.u.
energy = -38.24 eV per cell